w.
DFT (PBE) results for crystalline PrNdGaRh at its relaxed geometry.

Lattice parameters (Å, degrees): 5.150 5.150 5.150 60.00 60.00 60.00
Sites, in units of the cell vectors:
1 Pr 0.000 0.000 0.000
2 Nd 0.500 0.500 0.500
3 Ga 0.750 0.750 0.750
4 Rh 0.250 0.250 0.250

Summary:
SG: No. 216

***

x.
DFT (PBE) results for crystalline PrNdGaRh at its relaxed geometry.

Lattice parameters (Å, degrees): 3.960 6.081 6.081 42.77 90.00 90.00
Sites, in units of the cell vectors:
1 Pr 0.000 0.000 0.000
2 Nd 0.500 0.285 0.285
3 Ga 0.500 0.584 0.584
4 Rh 0.000 0.735 0.735

Summary:
SG: No. 38

***

If we sort the structures by their calculated energies, the order from most to least stable is x, w.

***

w.
DFT (PBE) results for crystalline Nd3Ga4Pt4 at its relaxed geometry.

Lattice parameters (Å, degrees): 8.380 8.380 8.380 150.72 128.81 60.06
Sites, in units of the cell vectors:
1 Nd 0.000 0.000 0.000
2 Nd 0.374 0.874 0.500
3 Nd 0.626 0.126 0.500
4 Ga 0.024 0.327 0.697
5 Ga 0.370 0.673 0.697
6 Ga 0.630 0.327 0.303
7 Ga 0.976 0.673 0.303
8 Pt 0.214 0.214 0.000
9 Pt 0.298 0.500 0.798
10 Pt 0.702 0.500 0.202
11 Pt 0.786 0.786 0.000

Summary:
SG: No. 71

***

x.
DFT (PBE) results for crystalline Nd3Ga4Pt4 at its relaxed geometry.

Lattice parameters (Å, degrees): 13.463 13.463 13.463 162.86 161.44 25.37
Sites, in units of the cell vectors:
1 Nd 0.000 0.000 0.000
2 Nd 0.355 0.855 0.500
3 Nd 0.645 0.145 0.500
4 Ga 0.194 0.694 0.500
5 Ga 0.452 0.452 0.000
6 Ga 0.548 0.548 0.000
7 Ga 0.806 0.306 0.500
8 Pt 0.098 0.598 0.500
9 Pt 0.253 0.253 0.000
10 Pt 0.747 0.747 0.000
11 Pt 0.902 0.402 0.500

Summary:
SG: No. 71

***

If we sort the structures by their calculated energies, the order from most to least stable is w, x.